Below is a relaxed structure of Pr4ErTm5, with properties calculated at the GGA-PBE level.

Structure (CIF):
```
data_Pr4ErTm5
_chemical_formula_sum 'Pr4 Er1 Tm5'
_cell_length_a 3.598
_cell_length_b 3.598
_cell_length_c 25.048
_cell_angle_alpha 90.00
_cell_angle_beta 90.00
_cell_angle_gamma 90.00
_symmetry_space_group_name_H-M 'P 4/m m m'
_symmetry_Int_Tables_number 123
_symmetry_space_group_name_Hall '-P 4 2'
loop_
_atom_site_label
_atom_site_type_symbol
_atom_site_fract_x
_atom_site_fract_y
_atom_site_fract_z
_atom_site_occupancy
Pr1 Pr 0.000 0.000 0.101 1
Pr2 Pr 0.000 0.000 0.302 1
Er1 Er 0.000 0.000 0.500 1
Tm1 Tm 0.500 0.500 0.000 1
Tm2 Tm 0.500 0.500 0.202 1
Tm3 Tm 0.500 0.500 0.404 1
```

Computed properties:
total moment	0.00	μB per atom
volume	32.42	Å³ per atom
DFT formation energy	0.027	eV/atom
energy above the lowest structure with this stoichiometry	0.0	meV per atom